FeH3Au: relaxed, GGA-PBE.

The value obtained for the volume is 38.7 Å³/f.u. The energy above the most stable polymorph in this dataset is 0 meV/atom. The total energy is -3.9480 eV/atom.

The space group is Pm-3m (No. 221) and the conventional cell measures 3.3815, 3.3815 and 3.3815 Å, with angles of 90.00, 90.00 and 90.00 degrees. The asymmetric unit holds Fe at (0.0000, 0.0000, 0.0000), H at (0.0000, 0.0000, 0.5000) and Au at (0.5000, 0.5000, 0.5000).

=====

HfFe2HAu: relaxed, GGA-PBE.

The value obtained for the volume is 62.1 Å³/f.u. The total energy is -6.8194 eV/atom.

The space group is P4/mmm (No. 123) and the conventional cell measures 3.9137, 3.9137 and 4.0557 Å, with angles of 90.00, 90.00 and 90.00 degrees. The asymmetric unit holds Hf at (0.0000, 0.0000, 0.0000), Fe at (0.0000, 0.5000, 0.5000), H at (0.0000, 0.0000, 0.5000) and Au at (0.5000, 0.5000, 0.0000).

=====

Hf2FeHAu: relaxed, GGA-PBE.

The value obtained for the volume is 73.4 Å³/f.u. The total energy is -7.3024 eV/atom.

The space group is P4/mmm (No. 123) and the conventional cell measures 4.5455, 4.5455 and 3.5509 Å, with angles of 90.00, 90.00 and 90.00 degrees. The asymmetric unit holds Hf at (0.0000, 0.5000, 0.0000), Fe at (0.0000, 0.0000, 0.5000), H at (0.0000, 0.0000, 0.0000) and Au at (0.5000, 0.5000, 0.5000).